# SrCaTi2O6, relaxed, DFT GGA-PBEsol
# V, Å³/atom: 11.50
# Fermi-level density of states, states/eV per cell: 0.0
# Energy relative to the elements, uncorrected, eV per formula unit: -31.9
data_SrCaTi2O6
_symmetry_space_group_name_H-M 'P m c 21'
_symmetry_Int_Tables_number 26
_cell_length_a 7.6928
_cell_length_b 5.4562
_cell_length_c 5.4809
_cell_angle_alpha 90.00
_cell_angle_beta 90.00
_cell_angle_gamma 90.00
loop_
_symmetry_equiv_pos_as_xyz
'x,y,z'
'-x,-y,z+1/2'
'-x,y,z'
'x,-y,z+1/2'
loop_
_atom_site_label
_atom_site_fract_x
_atom_site_fract_y
_atom_site_fract_z
Sr1 0.0000 0.2475 0.0000
Ca1 0.5000 0.2557 0.0533
Ti1 0.2548 0.2465 0.5249
O1 0.0000 0.2981 0.5143
O2 0.2267 0.0270 0.2329
O3 0.2886 0.4710 0.7886
O4 0.5000 0.1797 0.4925